(a)
Computed, not measured: crystalline KAsRh3 at its relaxed geometry at the PBE level of DFT.

Computed properties:
Density of states at the Fermi level ... 1.009 states/eV per atom

a b c (Å): 4.682 4.682 4.682
angles (deg): 90.00 90.00 90.00
Space group Pm-3m (No. 221)
Symmetry-distinct sites (fractional):
K 0.000 0.000 0.000 (multiplicity 1)
As 0.500 0.500 0.500 (multiplicity 1)
Rh 0.000 0.500 0.500 (multiplicity 3)


(b)
Computed, not measured: crystalline KAsRh3 at its relaxed geometry at the PBE level of DFT.

Computed properties:
Density of states at the Fermi level ... 1.470 states/eV per atom

a b c (Å): 4.714 4.714 4.714
angles (deg): 90.00 90.00 90.00
Space group Pm-3m (No. 221)
Symmetry-distinct sites (fractional):
K 0.000 0.000 0.000 (multiplicity 1)
As 0.500 0.500 0.500 (multiplicity 1)
Rh 0.000 0.000 0.500 (multiplicity 3)


(a) (1879 meV per atom below the next structure)